! TiVO4, optimized geometry, DFT PBE+U; values from VASP
&SYSTEM
  ibrav = 0, nat = 6, ntyp = 3
/
ATOMIC_SPECIES
O 16.00 O.upf
Ti 47.87 Ti.upf
V 50.94 V.upf
CELL_PARAMETERS angstrom
3.785 0.000 0.000
0.000 3.785 0.000
-1.893 -1.893 4.863
ATOMIC_POSITIONS angstrom
O 1.893 0.000 4.455
Ti 1.893 0.000 2.431
O 0.000 0.000 2.871
O 1.893 1.893 1.992
V 1.893 1.893 0.000
O 1.893 0.000 0.408
! Total magnetization, Bohr magnetons per cell: 1.00
! VASP energy, eV per formula unit: -49.71
! D(E_F), states/eV/atom: 0.631